1 | RbTl2Sn2: relaxed, PBEsol. Values from VASP.

Cell and atoms, written as Quantum ESPRESSO input:
```
&SYSTEM
  ibrav = 0, nat = 5, ntyp = 3
/
ATOMIC_SPECIES
Rb 85.47 Rb.upf
Tl 204.38 Tl.upf
Sn 118.71 Sn.upf
ATOMIC_POSITIONS crystal
Rb 0.000 0.000 0.000
Tl 0.386 0.386 0.000
Tl 0.614 0.614 0.000
Sn 0.250 0.750 0.500
Sn 0.750 0.250 0.500
CELL_PARAMETERS angstrom
-2.243 2.243 8.203
2.243 -2.243 8.203
2.243 2.243 -8.203
```


2 | RbTl2Sn2: relaxed, PBEsol. Values from VASP.

Cell and atoms, written as Quantum ESPRESSO input:
```
&SYSTEM
  ibrav = 0, nat = 10, ntyp = 3
/
ATOMIC_SPECIES
Rb 85.47 Rb.upf
Tl 204.38 Tl.upf
Sn 118.71 Sn.upf
ATOMIC_POSITIONS crystal
Rb 0.000 0.000 0.000
Rb 0.500 0.500 0.000
Tl 0.144 0.356 0.000
Tl 0.356 0.856 0.000
Tl 0.644 0.144 0.000
Tl 0.856 0.644 0.000
Sn 0.145 0.645 0.500
Sn 0.355 0.145 0.500
Sn 0.645 0.855 0.500
Sn 0.855 0.355 0.500
CELL_PARAMETERS angstrom
9.338 0.000 0.000
0.000 9.338 0.000
0.000 0.000 3.520
```


Ordering by calculated energy gives the sequence 1, 2, with the first entry being the most stable.


1 | RbTl2Te2: relaxed, PBEsol. Values from VASP.

Cell and atoms, written as Quantum ESPRESSO input:
```
&SYSTEM
  ibrav = 0, nat = 5, ntyp = 3
/
ATOMIC_SPECIES
Rb 85.47 Rb.upf
Tl 204.38 Tl.upf
Te 127.60 Te.upf
ATOMIC_POSITIONS crystal
Rb 0.000 0.000 0.000
Tl 0.354 0.354 0.000
Tl 0.646 0.646 0.000
Te 0.250 0.750 0.500
Te 0.750 0.250 0.500
CELL_PARAMETERS angstrom
-2.936 2.936 5.189
2.936 -2.936 5.189
2.936 2.936 -5.189
```


2 | RbTl2Te2: relaxed, PBEsol. Values from VASP.

Cell and atoms, written as Quantum ESPRESSO input:
```
&SYSTEM
  ibrav = 0, nat = 10, ntyp = 3
/
ATOMIC_SPECIES
Rb 85.47 Rb.upf
Tl 204.38 Tl.upf
Te 127.60 Te.upf
ATOMIC_POSITIONS crystal
Rb 0.000 0.000 0.000
Rb 0.500 0.500 0.000
Tl 0.124 0.376 0.000
Tl 0.376 0.876 0.000
Tl 0.624 0.124 0.000
Tl 0.876 0.624 0.000
Te 0.174 0.674 0.500
Te 0.326 0.174 0.500
Te 0.674 0.826 0.500
Te 0.826 0.326 0.500
CELL_PARAMETERS angstrom
9.147 0.000 0.000
0.000 9.147 0.000
0.000 0.000 3.942
```


Ordering by calculated energy gives the sequence 2, 1, with the first entry being the most stable.